Entry from Alexandria via LeMat-Bulk: a geometry-optimized AcPrGdMg structure (PBE).

Values from the calculation:
space-group type	F-43m
energy of formation from the pure elements	0.37	eV/f.u.
calculated density	6.7	g/cm³

abc: 5.7823 5.7823 5.7823
angles: 60.00 60.00 60.00
Last column: magnetic moment on the atom in μB.
Fractional coordinates of all 4 atoms:
Gd1 0.5000 0.5000 0.5000  7.23
Mg1 0.2500 0.2500 0.2500  0.00
Pr1 0.0000 0.0000 0.0000  0.06
Ac1 0.7500 0.7500 0.7500  0.08


Entry from Alexandria via LeMat-Bulk: a geometry-optimized AcGdMgRh structure (PBE).

Values from the calculation:
space-group type	F-43m
energy of formation from the pure elements	-1.04	eV/f.u.
calculated density	8.1	g/cm³

abc: 5.3022 5.3022 5.3022
angles: 60.00 60.00 60.00
Last column: magnetic moment on the atom in μB.
Fractional coordinates of all 4 atoms:
Rh1 0.5000 0.5000 0.5000  -0.04
Gd1 0.2500 0.2500 0.2500  7.04
Mg1 0.0000 0.0000 0.0000  0.00
Ac1 0.7500 0.7500 0.7500  0.00


Entry from Alexandria via LeMat-Bulk: a geometry-optimized AcGdMgSb structure (PBE).

Values from the calculation:
raw formation energy	-414.5	meV/atom
space-group type	F-43m
calculated density	7.1	g/cm³

abc: 5.5899 5.5899 5.5899
angles: 60.00 60.00 60.00
Last column: magnetic moment on the atom in μB.
Fractional coordinates of all 4 atoms:
Mg1 0.5000 0.5000 0.5000  0.00
Gd1 0.2500 0.2500 0.2500  7.13
Ac1 0.7500 0.7500 0.7500  0.06
Sb1 0.0000 0.0000 0.0000  -0.01


Entry from Alexandria via LeMat-Bulk: a geometry-optimized AcSmGdMg structure (PBE).

Values from the calculation:
space-group type	F-43m
energy of formation from the pure elements	0.42	eV/f.u.
calculated density	6.9	g/cm³

abc: 5.7438 5.7438 5.7438
angles: 60.00 60.00 60.00
Last column: magnetic moment on the atom in μB.
Fractional coordinates of all 4 atoms:
Ac1 0.5000 0.5000 0.5000  0.09
Gd1 0.2500 0.2500 0.2500  7.25
Sm1 0.7500 0.7500 0.7500  0.08
Mg1 0.0000 0.0000 0.0000  0.00